Density functional theory data (PBE-GGA) for a relaxed structure of NaSe2SN.

Unit cell a=5.5911 b=5.5911 c=3.2285 alpha=90.00 beta=90.00 gamma=90.00
With the nearest neighbours (Å) after each atom.
Positions (direct):
Na: 0.0000 0.0000 0.0000  8 Se 3.23, 2 Na 3.23
Se: 0.0000 0.5000 0.5000  2 S 2.80
Se: 0.5000 0.0000 0.5000  2 S 2.80
S: 0.5000 0.5000 0.5000  2 N 1.61
N: 0.5000 0.5000 0.0000  2 S 1.61

Computed properties:
* DFT total energy: -3.6661 eV/atom
* energy above the lowest structure with this stoichiometry: 0.0 meV/atom
* raw formation energy: 0.482 eV per atom